# 1
Computed, not measured: a geometry-optimized CoSn2Pb structure at the GGA-PBE level of DFT.

```
data_CoSn2Pb
_chemical_formula_sum 'Co3 Sn6 Pb3'
_symmetry_space_group_name_H-M 'R -3 m'
_symmetry_Int_Tables_number 166
_symmetry_space_group_name_Hall '-R 3 2"'
_cell_length_a 3.4923
_cell_length_b 3.4923
_cell_length_c 28.1241
_cell_angle_alpha 90.00
_cell_angle_beta 90.00
_cell_angle_gamma 120.00
loop_
_atom_site_label
_atom_site_type_symbol
_atom_site_fract_x
_atom_site_fract_y
_atom_site_fract_z
Co1 Co 0.0000 0.0000 0.0000
Sn1 Sn 0.0000 0.0000 0.3896
Pb1 Pb 0.0000 0.0000 0.5000
```

Properties
Energy relative to the elements in eV per atom: 0.1341
Crystal system: trigonal


# 2
Computed, not measured: a geometry-optimized Nd2Sm3Sn structure at the GGA-PBE level of DFT.

```
data_Nd2Sm3Sn
_chemical_formula_sum 'Nd4 Sm6 Sn2'
_symmetry_space_group_name_H-M 'C m m m'
_symmetry_Int_Tables_number 65
_symmetry_space_group_name_Hall '-C 2 2'
_cell_length_a 4.9315
_cell_length_b 15.5276
_cell_length_c 4.9467
_cell_angle_alpha 90.00
_cell_angle_beta 90.00
_cell_angle_gamma 90.00
loop_
_atom_site_label
_atom_site_type_symbol
_atom_site_fract_x
_atom_site_fract_y
_atom_site_fract_z
Nd1 Nd 0.0000 0.1606 0.0000
Sm1 Sm 0.0000 0.0000 0.5000
Sm2 Sm 0.0000 0.3382 0.5000
Sn1 Sn 0.0000 0.5000 0.0000
```

Properties
Offset from the most stable computed form in meV per atom: 0
Energy relative to the elements in eV per atom: -0.2575
Crystal system: orthorhombic


# 3
Computed, not measured: a geometry-optimized YTh2Zr structure at the GGA-PBE level of DFT.

```
data_YTh2Zr
_chemical_formula_sum 'Y1 Th2 Zr1'
_symmetry_space_group_name_H-M 'P 4/m m m'
_symmetry_Int_Tables_number 123
_symmetry_space_group_name_Hall '-P 4 2'
_cell_length_a 4.9324
_cell_length_b 4.9324
_cell_length_c 4.9046
_cell_angle_alpha 90.00
_cell_angle_beta 90.00
_cell_angle_gamma 90.00
loop_
_atom_site_label
_atom_site_type_symbol
_atom_site_fract_x
_atom_site_fract_y
_atom_site_fract_z
Y1 Y 0.0000 0.0000 0.0000
Th1 Th 0.0000 0.5000 0.5000
Zr1 Zr 0.5000 0.5000 0.0000
```

Properties
Offset from the most stable computed form in meV per atom: 15
Energy relative to the elements in eV per atom: 0.1082
Crystal system: tetragonal


# 4
Computed, not measured: a geometry-optimized CaLaPu2O8 structure at the GGA-PBE level of DFT.

```
data_CaLaPu2O8
_chemical_formula_sum 'Ca2 La2 Pu4 O16'
_symmetry_space_group_name_H-M 'I -4 m 2'
_symmetry_Int_Tables_number 119
_symmetry_space_group_name_Hall 'I -4 -2'
_cell_length_a 5.4591
_cell_length_b 5.4591
_cell_length_c 10.6237
_cell_angle_alpha 90.00
_cell_angle_beta 90.00
_cell_angle_gamma 90.00
loop_
_atom_site_label
_atom_site_type_symbol
_atom_site_fract_x
_atom_site_fract_y
_atom_site_fract_z
Ca1 Ca 0.0000 0.0000 0.0000
La1 La 0.0000 0.5000 0.7500
Pu1 Pu 0.0000 0.0000 0.5000
Pu2 Pu 0.0000 0.5000 0.2500
O1 O 0.2232 0.2517 0.3756
```

Properties
Formation energy (no corrections) in eV per atom: -2.88
Crystal system: tetragonal


# 5
Computed, not measured: a geometry-optimized NaYTiI2 structure at the GGA-PBE level of DFT.

```
data_NaYTiI2
_chemical_formula_sum 'Na1 Y1 Ti1 I2'
_symmetry_space_group_name_H-M 'P 4/m m m'
_symmetry_Int_Tables_number 123
_symmetry_space_group_name_Hall '-P 4 2'
_cell_length_a 5.4988
_cell_length_b 5.4988
_cell_length_c 5.7588
_cell_angle_alpha 90.00
_cell_angle_beta 90.00
_cell_angle_gamma 90.00
loop_
_atom_site_label
_atom_site_type_symbol
_atom_site_fract_x
_atom_site_fract_y
_atom_site_fract_z
Na1 Na 0.0000 0.0000 0.0000
Y1 Y 0.5000 0.5000 0.5000
Ti1 Ti 0.0000 0.0000 0.5000
I1 I 0.0000 0.5000 0.0000
```

Properties
Formation energy (no corrections) in eV per atom: 0.49
Crystal system: tetragonal


Q: Which N(E_F) values were calculated for the entries above? A: 4.24, 7.21, 5.54, 11.05, 5.76, in states/eV/f.u..
Q: Which calculated density values were calculated for the entries above? A: 8.445, 7.525, 8.965, 8.339, 3.944, in g/cm3.
Q: Which electronic total energy values were calculated for the entries above? A: -54.85, -58.48, -29.42, -219.73, -16.30, in eV per cell.